Here is a relaxed ZnCr3Re crystal from Alexandria via LeMat-Bulk. Energies are from PBE-GGA.

- M_tot (μB per cell) = 7.0
- excess energy over the best structure of this formula in the dataset (kcal/mol of atoms) = 8.667

abc: 4.422 4.422 4.422
angles: 90.00 90.00 90.00
Element x y z (fractional)
Zn1 0.000 0.000 0.000
Cr1 0.000 0.000 0.500
Cr2 0.000 0.500 0.000
Cr3 0.500 0.000 0.000
Re1 0.500 0.500 0.500



Here is a relaxed ZnCr2Re crystal from Alexandria via LeMat-Bulk. Energies are from PBE-GGA.

- M_tot (μB per cell) = 0.0

abc: 4.930 4.930 2.557
angles: 99.73 99.73 116.70
Element x y z (fractional)
Zn1 0.000 0.000 0.000
Cr1 0.000 0.500 0.500
Cr2 0.500 0.000 0.500
Re1 0.500 0.500 0.000



Here is a relaxed ZnCr2Re crystal from Alexandria via LeMat-Bulk. Energies are from PBE-GGA.

- M_tot (μB per cell) = 2.3

abc: 4.238 4.238 4.238
angles: 60.00 60.00 60.00
Element x y z (fractional)
Zn1 0.000 0.000 0.000
Cr1 0.500 0.500 0.500
Cr2 0.750 0.750 0.750
Re1 0.250 0.250 0.250



Here is a relaxed ZnCrRe3 crystal from Alexandria via LeMat-Bulk. Energies are from PBE-GGA.

- M_tot (μB per cell) = 0.0
- excess energy over the best structure of this formula in the dataset (kcal/mol of atoms) = 0.000

abc: 4.450 4.450 4.450
angles: 90.00 90.00 90.00
Element x y z (fractional)
Zn1 0.000 0.000 0.000
Cr1 0.500 0.500 0.500
Re1 0.000 0.500 0.500
Re2 0.500 0.000 0.500
Re3 0.500 0.500 0.000



Here is a relaxed ZnCr2Re crystal from Alexandria via LeMat-Bulk. Energies are from PBE-GGA.

- M_tot (μB per cell) = 2.8

abc: 3.023 3.023 5.902
angles: 90.00 90.00 90.00
Element x y z (fractional)
Zn1 0.000 0.000 0.000
Cr1 0.500 0.500 0.257
Cr2 0.500 0.500 0.743
Re1 0.000 0.000 0.500



Here is a relaxed ZnCrRe crystal from Alexandria via LeMat-Bulk. Energies are from PBE-GGA.

- M_tot (μB per cell) = 0.0
- excess energy over the best structure of this formula in the dataset (kcal/mol of atoms) = 0.000

abc: 4.881 4.881 4.881
angles: 143.43 143.43 52.68
Element x y z (fractional)
Zn1 0.000 0.000 0.000
Cr1 0.674 0.674 0.000
Re1 0.314 0.314 0.000



Here is a relaxed ZnCr2Re crystal from Alexandria via LeMat-Bulk. Energies are from PBE-GGA.

- M_tot (μB per cell) = 0.0

abc: 4.853 4.853 4.853
angles: 143.15 129.17 64.41
Element x y z (fractional)
Zn1 0.000 0.000 0.000
Cr1 0.260 0.760 0.500
Cr2 0.740 0.240 0.500
Re1 0.500 0.500 0.000



Here is a relaxed ZrZnCr2Re crystal from Alexandria via LeMat-Bulk. Energies are from PBE-GGA.

- M_tot (μB per cell) = 0.0

abc: 4.501 4.501 5.067
angles: 90.00 90.00 90.00
Element x y z (fractional)
Zr1 0.000 0.000 0.000
Zn1 0.500 0.500 0.000
Cr1 0.000 0.500 0.500
Cr2 0.500 0.000 0.500
Re1 0.000 0.000 0.500



Here is a relaxed ZrCrRe3 crystal from Alexandria via LeMat-Bulk. Energies are from PBE-GGA.

- M_tot (μB per cell) = 0.1
- excess energy over the best structure of this formula in the dataset (kcal/mol of atoms) = 45.853

abc: 4.713 4.713 4.713
angles: 90.00 90.00 90.00
Element x y z (fractional)
Zr1 0.000 0.000 0.000
Cr1 0.500 0.500 0.500
Re1 0.000 0.000 0.500
Re2 0.000 0.500 0.000
Re3 0.500 0.000 0.000



Here is a relaxed Zr2CrRe crystal from Alexandria via LeMat-Bulk. Energies are from PBE-GGA.

- M_tot (μB per cell) = 0.0
- excess energy over the best structure of this formula in the dataset (kcal/mol of atoms) = 5.552

abc: 2.911 2.911 8.799
angles: 90.00 90.00 111.14
Element x y z (fractional)
Zr1 0.000 0.000 0.242
Zr2 0.000 0.000 0.758
Cr1 0.500 0.500 0.000
Re1 0.500 0.500 0.500



Here is a relaxed ZrCr4Re crystal from Alexandria via LeMat-Bulk. Energies are from PBE-GGA.

- M_tot (μB per cell) = 0.0

abc: 4.899 4.899 4.899
angles: 60.00 60.00 60.00
Element x y z (fractional)
Zr1 0.000 0.000 0.000
Cr1 0.126 0.625 0.625
Cr2 0.625 0.126 0.625
Cr3 0.625 0.625 0.126
Cr4 0.625 0.625 0.625
Re1 0.250 0.250 0.250



Here is a relaxed Zr2CrRe crystal from Alexandria via LeMat-Bulk. Energies are from PBE-GGA.

- M_tot (μB per cell) = 0.0
- excess energy over the best structure of this formula in the dataset (kcal/mol of atoms) = 7.782

abc: 9.300 9.300 9.300
angles: 18.79 18.79 18.79
Element x y z (fractional)
Zr1 0.000 0.000 0.000
Zr2 0.233 0.233 0.233
Cr1 0.750 0.750 0.750
Re1 0.478 0.478 0.478



Here is a relaxed Zr2CrRe crystal from Alexandria via LeMat-Bulk. Energies are from PBE-GGA.

- M_tot (μB per cell) = 0.0
- excess energy over the best structure of this formula in the dataset (kcal/mol of atoms) = 3.823

abc: 4.593 4.593 4.593
angles: 60.00 60.00 60.00
Element x y z (fractional)
Zr1 0.000 0.000 0.000
Zr2 0.250 0.250 0.250
Cr1 0.750 0.750 0.750
Re1 0.500 0.500 0.500



Here is a relaxed Zr2CrRe crystal from Alexandria via LeMat-Bulk. Energies are from PBE-GGA.

- M_tot (μB per cell) = 0.0
- excess energy over the best structure of this formula in the dataset (kcal/mol of atoms) = 5.186

abc: 5.261 5.261 5.261
angles: 143.60 125.52 67.30
Element x y z (fractional)
Zr1 0.243 0.243 0.000
Zr2 0.757 0.757 0.000
Cr1 0.000 0.500 0.500
Re1 0.500 0.000 0.500



Here is a relaxed Zr2CrRe crystal from Alexandria via LeMat-Bulk. Energies are from PBE-GGA.

- M_tot (μB per cell) = 0.0
- excess energy over the best structure of this formula in the dataset (kcal/mol of atoms) = 5.014

abc: 2.872 2.872 9.243
angles: 90.00 90.00 111.85
Element x y z (fractional)
Zr1 0.000 0.000 0.000
Zr2 0.500 0.500 0.309
Cr1 0.000 0.000 0.547
Re1 0.500 0.500 0.747



Here is a relaxed Zr2CrRe crystal from Alexandria via LeMat-Bulk. Energies are from PBE-GGA.

- M_tot (μB per cell) = 5.4
- excess energy over the best structure of this formula in the dataset (kcal/mol of atoms) = 15.088

abc: 5.918 5.918 5.918
angles: 103.30 103.30 122.68
Element x y z (fractional)
Zr1 0.122 0.125 0.497
Zr2 0.375 0.878 0.003
Zr3 0.628 0.625 0.503
Zr4 0.875 0.372 0.997
Cr1 0.250 0.750 0.500
Cr2 0.500 0.500 0.000
Re1 0.000 0.000 0.000
Re2 0.750 0.250 0.500



Here is a relaxed Zr2CrRe crystal from Alexandria via LeMat-Bulk. Energies are from PBE-GGA.

- M_tot (μB per cell) = 0.0
- excess energy over the best structure of this formula in the dataset (kcal/mol of atoms) = 5.393

abc: 3.284 4.422 4.783
angles: 90.00 90.00 90.00
Element x y z (fractional)
Zr1 0.000 0.000 0.000
Zr2 0.500 0.000 0.500
Cr1 0.000 0.500 0.500
Re1 0.500 0.500 0.000



Here is a relaxed ZrCrRe3 crystal from Alexandria via LeMat-Bulk. Energies are from PBE-GGA.

- M_tot (μB per cell) = 0.0
- excess energy over the best structure of this formula in the dataset (kcal/mol of atoms) = 0.000

abc: 4.473 4.473 4.473
angles: 90.00 90.00 90.00
Element x y z (fractional)
Zr1 0.000 0.000 0.000
Cr1 0.500 0.500 0.500
Re1 0.000 0.500 0.500
Re2 0.500 0.000 0.500
Re3 0.500 0.500 0.000



Here is a relaxed Zr2CrRe crystal from Alexandria via LeMat-Bulk. Energies are from PBE-GGA.

- M_tot (μB per cell) = 2.7
- excess energy over the best structure of this formula in the dataset (kcal/mol of atoms) = 0.000

abc: 4.683 4.683 4.683
angles: 60.00 60.00 60.00
Element x y z (fractional)
Zr1 0.250 0.250 0.250
Zr2 0.750 0.750 0.750
Cr1 0.000 0.000 0.000
Re1 0.500 0.500 0.500



Here is a relaxed ZrCrRe crystal from Alexandria via LeMat-Bulk. Energies are from PBE-GGA.

- M_tot (μB per cell) = 0.0
- excess energy over the best structure of this formula in the dataset (kcal/mol of atoms) = 5.608

abc: 5.418 5.418 5.418
angles: 146.49 146.49 48.12
Element x y z (fractional)
Zr1 0.000 0.000 0.000
Cr1 0.677 0.677 0.000
Re1 0.315 0.315 0.000



| no. | energy of formation from the pure elements (meV/atom) | calculated total energy (eV per cell) |
| --- | --- | --- |
| 1 | 1753 | -33.827 |
| 2 | 232 | -32.040 |
| 3 | 249 | -31.972 |
| 4 | 1621 | -40.136 |
| 5 | 133 | -32.435 |
| 6 | 128 | -22.963 |
| 7 | 227 | -32.059 |
| 8 | 1238 | -35.328 |
| 9 | 2936 | -40.838 |
| 10 | 205 | -38.349 |
| 11 | 22 | -59.359 |
| 12 | 301 | -37.963 |
| 13 | 130 | -38.649 |
| 14 | 189 | -38.413 |
| 15 | 181 | -38.443 |
| 16 | 618 | -73.391 |
| 17 | 198 | -38.377 |
| 18 | 947 | -50.780 |
| 19 | -36 | -39.312 |
| 20 | -11 | -30.653 |